Density functional theory data (PBE) for a geometry-optimized FeNiAs2 structure.

Summary:
V = 18.24 Å³ per atom
VASP energy = -5.650 eV per atom
ΔE to the lowest computed polymorph = 220.6 meV/atom

Cell and atoms, written as CIF:
```
data_FeNiAs2
_space_group_name_H-M_alt 'I -4 2 d'
_space_group_IT_number 122
_space_group_name_Hall 'I -4 2bw'
_cell_length_a 5.298
_cell_length_b 5.298
_cell_length_c 10.397
_cell_angle_alpha 90.00
_cell_angle_beta 90.00
_cell_angle_gamma 90.00
loop_
_atom_site_label
_atom_site_fract_x
_atom_site_fract_y
_atom_site_fract_z
Fe1 0.000 0.000 0.000
Ni1 0.000 0.000 0.500
As1 0.242 0.750 0.125
```